## RbPdF (PBE)

Data for crystalline RbPdF at its relaxed geometry.

abc: 21.335 3.473 3.601
angles: 90.00 90.13 90.00
Space group Cm (No. 8)
Symmetry-distinct sites (fractional):
1 Rb 0.000 0.000 0.000 x2
2 Rb 0.166 0.000 0.497 x2
3 Pd 0.321 0.500 0.991 x2
4 Pd 0.361 0.000 0.492 x2
5 F 0.055 0.500 0.501 x2
6 F 0.215 0.500 0.998 x2

Output
Its distance to the lowest polymorph of the same formula is 0 meV/atom. As for the energy relative to the elements, uncorrected: -1348.3 meV/atom. The crystal system is monoclinic.

=====

## RbPdF (PBE)

Data for crystalline RbPdF at its relaxed geometry.

abc: 4.2586 4.2586 4.2178
angles: 90.00 90.00 120.00
Space group P-6m2 (No. 187)
Symmetry-distinct sites (fractional):
1 Rb 0.0000 0.0000 0.0000 x1
2 Pd 0.6667 0.3333 0.5000 x1
3 F 0.3333 0.6667 0.5000 x1

Output
Its distance to the lowest polymorph of the same formula is 576 meV/atom. As for the energy relative to the elements, uncorrected: -772.6 meV/atom. The crystal system is hexagonal.

=====

## RbPdF (PBE)

Data for crystalline RbPdF at its relaxed geometry.

abc: 6.584 6.584 6.584
angles: 90.00 90.00 90.00
Space group F-43m (No. 216)
Symmetry-distinct sites (fractional):
1 Rb 0.000 0.000 0.000 x4
2 Pd 0.250 0.250 0.750 x4
3 F 0.000 0.000 0.500 x4

Output
Its distance to the lowest polymorph of the same formula is 831 meV/atom. As for the energy relative to the elements, uncorrected: -517.3 meV/atom. The crystal system is cubic.

=====

Look up the distance to the lowest polymorph of the same formula of the first one. 0 meV/atom

=====

Among the records above, which one has the highest distance to the lowest polymorph of the same formula? number 3

=====

distance to the lowest polymorph of the same formula of number 1 (RbPdF)? 0 meV/atom